(1)
Compound: Sc2Co12P7
Source: the Alexandria database
Functional: PBE
Structure: optimized geometry

For the total magnetization, the calculation gives 4.77 μB/f.u. The formation enthalpy at 0 K is -78 kJ/mol of atoms. As for the total energy: -7.27 eV per atom.

The space group is P-6 (No. 174) and the conventional cell measures 8.9206, 8.9206 and 3.5206 Å, with angles of 90.00, 90.00 and 120.00 degrees. The inequivalent atoms are Sc at (0.0000, 0.0000, 0.0000), Sc at (0.3333, 0.6667, 0.5000), Co at (0.0505, 0.2788, 0.5000), Co at (0.1036, 0.7081, 0.0000), Co at (0.3914, 0.1769, 0.0000), Co at (0.5329, 0.4353, 0.5000), P at (0.0777, 0.4512, 0.0000), P at (0.2590, 0.2163, 0.5000) and P at (0.6667, 0.3333, 0.0000).


(2)
Compound: HfIn2Tc
Source: the Alexandria database
Functional: PBE
Structure: optimized geometry

As for the energy relative to the lowest polymorph listed for this composition: 0.2959 eV/atom. For the total magnetization, the calculation gives 1.11 μB/f.u. The formation enthalpy at 0 K is 42 kJ/mol of atoms. As for the total energy: -6.01 eV per atom.

The space group is I-42d (No. 122) and the conventional cell measures 7.777, 7.777 and 5.709 Å, with angles of 90.00, 90.00 and 90.00 degrees. The inequivalent atoms are Hf at (0.000, 0.000, 0.000), In at (0.227, 0.250, 0.625) and Tc at (0.000, 0.000, 0.500).


(3)
Compound: Cs4Ce3YTe8
Source: the Alexandria database
Functional: PBE
Structure: optimized geometry

For the total magnetization, the calculation gives 3.01 μB/f.u. As for the uncorrected formation energy: -1.356 eV/atom. As for the total energy: -4.66 eV per atom.

The space group is R-3m (No. 166, hexagonal axes) and the conventional cell measures 9.3676, 9.3676 and 26.7363 Å, with angles of 90.00, 90.00 and 120.00 degrees. The inequivalent atoms are Cs at (0.0000, 0.0000, 0.0000), Cs at (0.0000, 0.5000, 0.0000), Ce at (0.0000, 0.5000, 0.5000), Y at (0.0000, 0.0000, 0.5000), Te at (0.0000, 0.0000, 0.2316) and Te at (0.0075, 0.5037, 0.2307).


(4)
Compound: Rb2SiRhF6
Source: the Alexandria database
Functional: PBE
Structure: optimized geometry

For the total magnetization, the calculation gives 1.00 μB/f.u. As for the uncorrected formation energy: -2.307 eV/atom. As for the total energy: -4.90 eV per atom.

The space group is I4/mmm (No. 139) and the conventional cell measures 5.881, 5.881 and 10.197 Å, with angles of 90.00, 90.00 and 90.00 degrees. The inequivalent atoms are Rb at (0.000, 0.500, 0.250), Si at (0.000, 0.000, 0.000), Rh at (0.000, 0.000, 0.500), F at (0.000, 0.000, 0.168) and F at (0.207, 0.207, 0.000).


(5)
Compound: AcSmMgSc
Source: the Alexandria database
Functional: PBE
Structure: optimized geometry

For the total magnetization, the calculation gives 0.00 μB/f.u. The formation enthalpy at 0 K is 5 kJ/mol of atoms. As for the total energy: -4.14 eV per atom.

The space group is F-43m (No. 216) and the conventional cell measures 7.958, 7.958 and 7.958 Å, with angles of 90.00, 90.00 and 90.00 degrees. The inequivalent atoms are Ac at (0.000, 0.000, 0.000), Sm at (0.000, 0.000, 0.500), Mg at (0.250, 0.250, 0.250) and Sc at (0.250, 0.250, 0.750).


(6)
Compound: TiTePN2
Source: the Alexandria database
Functional: PBE
Structure: optimized geometry

As for the energy relative to the lowest polymorph listed for this composition: 0.0000 eV/atom. For the total magnetization, the calculation gives 0.82 μB/f.u. As for the uncorrected formation energy: 0.608 eV/atom. As for the total energy: -6.01 eV per atom.

The space group is P4/mmm (No. 123) and the conventional cell measures 3.875, 3.875 and 6.035 Å, with angles of 90.00, 90.00 and 90.00 degrees. The inequivalent atoms are Ti at (0.000, 0.000, 0.000), Te at (0.000, 0.000, 0.500), P at (0.500, 0.500, 0.500) and N at (0.000, 0.500, 0.000).


(7)
Compound: NaEu2Ga
Source: the Alexandria database
Functional: PBE
Structure: optimized geometry

As for the energy relative to the lowest polymorph listed for this composition: 0.1089 eV/atom. For the total magnetization, the calculation gives 14.70 μB/f.u. The formation enthalpy at 0 K is -12 kJ/mol of atoms. As for the total energy: -6.35 eV per atom.

The space group is P4/mmm (No. 123) and the conventional cell measures 5.503, 5.503 and 4.068 Å, with angles of 90.00, 90.00 and 90.00 degrees. The inequivalent atoms are Na at (0.000, 0.000, 0.000), Eu at (0.000, 0.500, 0.500) and Ga at (0.500, 0.500, 0.000).


(8)
Compound: VS2Br
Source: the Alexandria database
Functional: PBE
Structure: optimized geometry

As for the energy relative to the lowest polymorph listed for this composition: 0.3017 eV/atom. For the total magnetization, the calculation gives 0.06 μB/f.u. As for the uncorrected formation energy: -0.263 eV/atom. As for the total energy: -5.02 eV per atom.

The space group is I-42d (No. 122) and the conventional cell measures 6.442, 6.442 and 9.702 Å, with angles of 90.00, 90.00 and 90.00 degrees. The inequivalent atoms are V at (0.000, 0.000, 0.000), S at (0.134, 0.250, 0.125) and Br at (0.000, 0.000, 0.500).